No. 1
Density functional theory data (PBE-GGA) for a relaxed SnBTe2Pb crystal.

Results
Its calculated total energy is -0.233 Ry/atom. The value obtained for the energy relative to the elements, uncorrected is 0.96 eV per atom.

Lattice parameters (Å, degrees): 6.0143 6.0143 4.4505 90.00 90.00 90.00
With the nearest neighbours (Å) after each atom.
Space group P4/mmm (No. 123)
Unique sites:
Sn (0.0000, 0.0000, 0.0000) (multiplicity 1)  8 Te 3.74
B (0.5000, 0.5000, 0.0000) (multiplicity 1)  2 Pb 2.23
Te (0.0000, 0.5000, 0.5000) (multiplicity 2)  2 Pb 3.01
Pb (0.5000, 0.5000, 0.5000) (multiplicity 1)  2 B 2.23

No. 2
Density functional theory data (PBE-GGA) for a relaxed La4AsS2Cl crystal.

Results
Its calculated total energy is -0.455 Ry/atom. The value obtained for the energy relative to the elements, uncorrected is -1.89 eV per atom.

Lattice parameters (Å, degrees): 5.9561 5.9561 11.9382 90.00 90.00 90.00
With the nearest neighbours (Å) after each atom.
Space group I4/mmm (No. 139)
Unique sites:
La (0.0000, 0.0000, 0.2469) (multiplicity 4)  1 As 2.95, 4 S 2.98, 1 Cl 3.02
La (0.0000, 0.5000, 0.0000) (multiplicity 4)  2 Cl 2.98, 2 As 2.98, 2 S 2.98
As (0.0000, 0.0000, 0.0000) (multiplicity 2)  6 La 2.95-2.98
S (0.0000, 0.5000, 0.2500) (multiplicity 4)  6 La 2.98
Cl (0.0000, 0.0000, 0.5000) (multiplicity 2)  6 La 2.98-3.02

No. 3
Density functional theory data (PBE-GGA) for a relaxed Tb2Ho3In4 crystal.

Results
Its calculated total energy is -0.307 Ry/atom. Its formation energy is -0.41 eV per atom.

Lattice parameters (Å, degrees): 9.1092 5.2664 10.2466 90.00 90.09 90.00
With the nearest neighbours (Å) after each atom.
Space group C2/m (No. 12)
Unique sites:
Tb (0.1668, 0.0000, 0.2767) (multiplicity 4)  7 In 3.29-3.32, 4 Ho 3.60-3.68
Ho (0.0000, 0.5000, 0.5000) (multiplicity 2)  8 In 3.21-3.55
Ho (0.1665, 0.0000, 0.9256) (multiplicity 4)  4 In 3.15-3.33, 3 Ho 3.40
In (0.0002, 0.5000, 0.1540) (multiplicity 4)  3 Ho 3.15, 1 In 3.16, 3 Tb 3.29
In (0.1665, 0.0000, 0.6007) (multiplicity 4)  4 Ho 3.21-3.33, 4 Tb 3.29-3.32

No. 4
Density functional theory data (PBE-GGA) for a relaxed MgSnF crystal.

Results
Its calculated total energy is -0.292 Ry/atom. The value obtained for the energy relative to the elements, uncorrected is -1.48 eV per atom.

Lattice parameters (Å, degrees): 14.6787 3.1737 5.4746 90.00 90.00 90.00
With the nearest neighbours (Å) after each atom.
Space group Amm2 (No. 38)
Unique sites:
Mg (0.0000, 0.0000, 0.0000) (multiplicity 2)  6 F 2.15
Mg (0.5000, 0.0000, 0.2233) (multiplicity 2)  6 Sn 3.16, 6 Mg 3.16-3.17
Sn (0.3241, 0.0000, 0.8896) (multiplicity 4)  3 Mg 3.16, 6 Sn 3.16-3.17
F (0.0773, 0.0000, 0.3331) (multiplicity 4)  3 Mg 2.15, 1 F 2.27

Number 1: mass density 6.11 Mg/m³, volume 32.196 Å³ per atom. Number 2: mass density 5.73 Mg/m³, volume 26.469 Å³ per atom. Number 3: mass density 8.59 Mg/m³, volume 27.309 Å³ per atom. Number 4: mass density 4.22 Mg/m³, volume 21.254 Å³ per atom.